Density functional theory data (PBE-GGA) for an optimized crystal structure of Nb2CuIr.

It has space group P4/mmm (No. 123), with a = 3.9686 Å, b = 3.9686 Å, c = 3.9808 Å, α = 90.00°, β = 90.00° and γ = 90.00°. The inequivalent atoms are Nb at (0.0000, 0.5000, 0.0000), Cu at (0.0000, 0.0000, 0.5000) and Ir at (0.5000, 0.5000, 0.5000).


Density functional theory data (PBE-GGA) for an optimized crystal structure of La4Mg3Ni.

It has space group P4/mmm (No. 123), with a = 3.7877 Å, b = 3.7877 Å, c = 16.0218 Å, α = 90.00°, β = 90.00° and γ = 90.00°. The inequivalent atoms are La at (0.0000, 0.0000, 0.1006), La at (0.0000, 0.0000, 0.3694), Mg at (0.5000, 0.5000, 0.2382), Mg at (0.5000, 0.5000, 0.5000) and Ni at (0.5000, 0.5000, 0.0000).


Density functional theory data (PBE-GGA) for an optimized crystal structure of Mg2ZrCd.

It has space group Immm (No. 71), with a = 3.1542 Å, b = 5.2779 Å, c = 10.6179 Å, α = 90.00°, β = 90.00° and γ = 90.00°. The inequivalent atoms are Mg at (0.0000, 0.0000, 0.2384), Zr at (0.0000, 0.5000, 0.0000) and Cd at (0.0000, 0.5000, 0.5000).


no.,total DFT energy (no corrections) (eV/atom)
1,-8.5069
2,-3.9161
3,-3.1289